# ReSbAs

A geometry-optimized ReSbAs structure (PBE, the Alexandria database).

Output
Size of the total moment ... 0.0 μB per cell
Space group ... Fmm2, No. 42
Uncorrected formation energy ... 1.5 eV per formula unit
E ... -78.92 eV/cell
Excess energy over the best structure of this formula in the dataset ... 413.3 meV/atom

```
12
Lattice="3.217 0.000 0.000 0.000 5.174 0.000 0.000 0.000 15.049" Properties=species:S:1:pos:R:3 pbc="T T T"
Re 0.000 0.000 0.000
Re 0.000 2.587 7.525
Re 1.608 0.000 7.525
Re 1.608 2.587 0.000
Sb 0.000 0.000 5.209
Sb 0.000 2.587 12.733
Sb 1.608 0.000 12.733
Sb 1.608 2.587 5.209
As 0.000 0.000 9.398
As 0.000 2.587 1.873
As 1.608 0.000 1.873
As 1.608 2.587 9.398
```

=====

# ReSb4As

A geometry-optimized ReSb4As structure (PBE, the Alexandria database).

Output
Size of the total moment ... 3.2 μB per cell
Space group ... F-43m, No. 216
Uncorrected formation energy ... 7.7 eV per formula unit
E ... -25.86 eV/cell

```
6
Lattice="0.000 4.289 4.289 4.289 0.000 4.289 4.289 4.289 0.000" Properties=species:S:1:pos:R:3 pbc="T T T"
Re 0.000 0.000 0.000
Sb 5.362 3.216 3.216
Sb 3.216 5.362 3.216
Sb 3.216 3.216 5.362
Sb 5.362 5.362 5.362
As 2.144 2.144 2.144
```

=====

# Re2SbAs

A geometry-optimized Re2SbAs structure (PBE, the Alexandria database).

Output
Size of the total moment ... 0.0 μB per cell
Space group ... Cmm2, No. 35
Uncorrected formation energy ... 2.2 eV per formula unit
E ... -62.93 eV/cell
Excess energy over the best structure of this formula in the dataset ... 385.2 meV/atom

```
8
Lattice="2.947 0.000 0.000 0.000 5.073 0.000 0.000 0.000 10.265" Properties=species:S:1:pos:R:3 pbc="T T T"
Re 0.000 0.000 0.000
Re 0.000 2.536 2.141
Re 1.473 0.000 2.141
Re 1.473 2.536 0.000
Sb 0.000 2.536 7.798
Sb 1.473 0.000 7.798
As 0.000 0.000 4.309
As 1.473 2.536 4.309
```

=====

# ReSb3As

A geometry-optimized ReSb3As structure (PBE, the Alexandria database).

Output
Size of the total moment ... 0.0 μB per cell
Space group ... Pm-3m, No. 221
Uncorrected formation energy ... 3.5 eV per formula unit
E ... -25.94 eV/cell
Excess energy over the best structure of this formula in the dataset ... 0.0 meV/atom

```
5
Lattice="5.139 0.000 0.000 0.000 5.139 0.000 0.000 0.000 5.139" Properties=species:S:1:pos:R:3 pbc="T T T"
Re 0.000 0.000 0.000
Sb 0.000 0.000 2.570
Sb 0.000 2.570 0.000
Sb 2.570 0.000 0.000
As 2.570 2.570 2.570
```

=====

# Re2SbAs

A geometry-optimized Re2SbAs structure (PBE, the Alexandria database).

Output
Size of the total moment ... 0.0 μB per cell
Space group ... P2/m, No. 10
Uncorrected formation energy ... 2.9 eV per formula unit
E ... -30.81 eV/cell
Excess energy over the best structure of this formula in the dataset ... 549.5 meV/atom

```
4
Lattice="3.154 0.000 0.000 0.000 3.907 0.000 -1.256 0.000 5.630" Properties=species:S:1:pos:R:3 pbc="T T T"
Re 0.125 0.000 1.572
Re 1.773 0.000 4.059
Sb 1.577 1.953 0.000
As -0.628 1.953 2.815
```

=====

# Re2SbAs

A geometry-optimized Re2SbAs structure (PBE, the Alexandria database).

Output
Size of the total moment ... 0.0 μB per cell
Space group ... Imm2, No. 44
Uncorrected formation energy ... 2.3 eV per formula unit
E ... -62.72 eV/cell
Excess energy over the best structure of this formula in the dataset ... 411.7 meV/atom

```
8
Lattice="3.194 0.000 0.000 0.000 4.058 0.000 0.000 0.000 10.598" Properties=species:S:1:pos:R:3 pbc="T T T"
Re 0.000 0.000 0.000
Re 0.000 2.029 2.566
Re 1.597 0.000 7.865
Re 1.597 2.029 5.299
Sb 0.000 2.029 8.643
Sb 1.597 0.000 3.344
As 0.000 0.000 5.940
As 1.597 2.029 0.641
```

=====

# Re2SbAs

A geometry-optimized Re2SbAs structure (PBE, the Alexandria database).

Output
Size of the total moment ... 0.0 μB per cell
Space group ... C2/m, No. 12
Uncorrected formation energy ... 2.0 eV per formula unit
E ... -63.30 eV/cell
Excess energy over the best structure of this formula in the dataset ... 339.9 meV/atom

```
8
Lattice="8.292 0.000 0.000 0.000 3.059 0.000 -1.107 0.000 5.384" Properties=species:S:1:pos:R:3 pbc="T T T"
Re 1.723 0.000 1.554
Re 1.316 1.529 3.830
Re 5.869 1.529 1.554
Re 5.463 0.000 3.830
Sb 0.000 1.529 0.000
Sb 4.146 0.000 0.000
As -0.553 0.000 2.692
As 3.593 1.529 2.692
```

=====

# Re2SbAs

A geometry-optimized Re2SbAs structure (PBE, the Alexandria database).

Output
Size of the total moment ... 0.0 μB per cell
Space group ... I-4m2, No. 119
Uncorrected formation energy ... 2.9 eV per formula unit
E ... -61.48 eV/cell
Excess energy over the best structure of this formula in the dataset ... 567.2 meV/atom

```
8
Lattice="4.185 0.000 0.000 0.000 4.185 0.000 0.000 0.000 7.771" Properties=species:S:1:pos:R:3 pbc="T T T"
Re 0.000 0.000 0.000
Re 0.000 2.092 1.943
Re 2.092 0.000 5.828
Re 2.092 2.092 3.886
Sb 0.000 2.092 5.828
Sb 2.092 0.000 1.943
As 0.000 0.000 3.886
As 2.092 2.092 0.000
```

=====

# Re2SbAs

A geometry-optimized Re2SbAs structure (PBE, the Alexandria database).

Output
Size of the total moment ... 0.0 μB per cell
Space group ... C2/m, No. 12
Uncorrected formation energy ... 3.7 eV per formula unit
E ... -59.94 eV/cell
Excess energy over the best structure of this formula in the dataset ... 759.2 meV/atom

```
8
Lattice="6.092 0.000 0.000 0.000 8.532 0.000 -1.454 0.000 2.683" Properties=species:S:1:pos:R:3 pbc="T T T"
Re 1.523 2.133 0.000
Re 1.523 6.399 0.000
Re 4.569 2.133 0.000
Re 4.569 6.399 0.000
Sb -0.727 0.000 1.342
Sb 2.319 4.266 1.342
As -0.727 4.266 1.342
As 2.319 0.000 1.342
```

=====

# Re2SbAs

A geometry-optimized Re2SbAs structure (PBE, the Alexandria database).

Output
Size of the total moment ... 0.0 μB per cell
Space group ... R3m, No. 160
Uncorrected formation energy ... 1.2 eV per formula unit
E ... -97.34 eV/cell
Excess energy over the best structure of this formula in the dataset ... 140.5 meV/atom

```
12
Lattice="3.018 0.000 0.000 -1.509 2.614 0.000 0.000 0.000 30.805" Properties=species:S:1:pos:R:3 pbc="T T T"
Re 0.000 0.000 0.000
Re 0.000 0.000 8.146
Re 0.000 1.742 20.536
Re 0.000 1.742 28.683
Re 1.509 0.871 10.268
Re 1.509 0.871 18.414
Sb 0.000 0.000 16.242
Sb 0.000 1.742 5.974
Sb 1.509 0.871 26.511
As 0.000 0.000 22.410
As 0.000 1.742 12.142
As 1.509 0.871 1.874
```

=====

# Re2SbAs

A geometry-optimized Re2SbAs structure (PBE, the Alexandria database).

Output
Size of the total moment ... 0.0 μB per cell
Space group ... Pmm2, No. 25
Uncorrected formation energy ... 1.6 eV per formula unit
E ... -32.03 eV/cell
Excess energy over the best structure of this formula in the dataset ... 244.2 meV/atom

```
4
Lattice="2.940 0.000 0.000 0.000 4.069 0.000 0.000 0.000 5.760" Properties=species:S:1:pos:R:3 pbc="T T T"
Re 0.000 0.000 0.000
Re 1.470 2.034 1.530
Sb 0.000 0.000 2.836
As 1.470 2.034 4.865
```

=====

# ReSbAs

A geometry-optimized ReSbAs structure (PBE, the Alexandria database).

Output
Size of the total moment ... 0.0 μB per cell
Space group ... F-43m, No. 216
Uncorrected formation energy ... 1.3 eV per formula unit
E ... -79.81 eV/cell
Excess energy over the best structure of this formula in the dataset ... 339.3 meV/atom

```
12
Lattice="6.291 0.000 0.000 0.000 6.291 0.000 0.000 0.000 6.291" Properties=species:S:1:pos:R:3 pbc="T T T"
Re 0.000 0.000 0.000
Re 0.000 3.145 3.145
Re 3.145 0.000 3.145
Re 3.145 3.145 0.000
Sb 1.573 1.573 1.573
Sb 1.573 4.718 4.718
Sb 4.718 1.573 4.718
Sb 4.718 4.718 1.573
As 1.573 1.573 4.718
As 1.573 4.718 1.573
As 4.718 1.573 1.573
As 4.718 4.718 4.718
```

=====

# Re2SbAs

A geometry-optimized Re2SbAs structure (PBE, the Alexandria database).

Output
Size of the total moment ... 0.0 μB per cell
Space group ... Immm, No. 71
Uncorrected formation energy ... 3.2 eV per formula unit
E ... -61.03 eV/cell
Excess energy over the best structure of this formula in the dataset ... 623.7 meV/atom

```
8
Lattice="3.074 0.000 0.000 0.000 5.018 0.000 0.000 0.000 8.954" Properties=species:S:1:pos:R:3 pbc="T T T"
Re 0.000 0.000 1.960
Re 0.000 0.000 6.994
Re 1.537 2.509 2.517
Re 1.537 2.509 6.437
Sb 0.000 2.509 0.000
Sb 1.537 0.000 4.477
As 0.000 2.509 4.477
As 1.537 0.000 0.000
```

=====

# Re2SbAs

A geometry-optimized Re2SbAs structure (PBE, the Alexandria database).

Output
Size of the total moment ... 0.0 μB per cell
Space group ... P4/mmm, No. 123
Uncorrected formation energy ... 1.9 eV per formula unit
E ... -31.72 eV/cell
Excess energy over the best structure of this formula in the dataset ... 321.2 meV/atom

```
4
Lattice="3.168 0.000 0.000 0.000 3.168 0.000 0.000 0.000 6.439" Properties=species:S:1:pos:R:3 pbc="T T T"
Re 0.000 0.000 1.491
Re 0.000 0.000 4.948
Sb 1.584 1.584 3.220
As 1.584 1.584 0.000
```

=====

# ReSbAs

A geometry-optimized ReSbAs structure (PBE, the Alexandria database).

Output
Size of the total moment ... 0.0 μB per cell
Space group ... P3m1, No. 156
Uncorrected formation energy ... 0.7 eV per formula unit
E ... -20.52 eV/cell
Excess energy over the best structure of this formula in the dataset ... 148.8 meV/atom

```
3
Lattice="3.308 0.000 0.000 -1.654 2.865 0.000 0.000 0.000 6.475" Properties=species:S:1:pos:R:3 pbc="T T T"
Re 0.000 0.000 0.000
Sb 1.654 0.955 2.014
As 0.000 1.910 4.831
```